1.
DFT (PBE) results for a relaxed MnPb2W crystal.

Values from the calculation:
Crystal system   tetragonal
Size of the total moment   0.01 μB per atom
Space-group type   I-42d
Energy above the lowest structure with this stoichiometry   1.113 eV/atom
Energy of formation from the pure elements   149.02 kJ/mol of atoms
Calculated total energy   -46.72 eV for the cell shown

Cell and atoms, written as CIF:
```
data_MnPb2W
_cell_length_a 7.5873
_cell_length_b 7.5873
_cell_length_c 6.1062
_cell_angle_alpha 51.59
_cell_angle_beta 51.59
_cell_angle_gamma 90.00
_space_group_name_H-M_alt 'P 1'
_space_group_IT_number 1
_space_group_name_Hall 'P 1'
loop_
_atom_site_label
_atom_site_type_symbol
_atom_site_fract_x
_atom_site_fract_y
_atom_site_fract_z
_atom_site_occupancy
Mn1 Mn 0.5000 0.5000 0.0000 1
Mn2 Mn 0.2500 0.7500 0.5000 1
W1 W 0.7500 0.2500 0.5000 1
W2 W 0.0000 0.0000 0.0000 1
Pb1 Pb 0.6023 0.1250 0.2500 1
Pb2 Pb 0.1477 0.6250 0.2500 1
Pb3 Pb 0.3750 0.3977 0.7500 1
Pb4 Pb 0.8750 0.8523 0.7500 1
```

---

2.
DFT (PBE) results for a relaxed MnTl2Zn crystal.

Values from the calculation:
Crystal system   monoclinic
Size of the total moment   0.99 μB per atom
Space-group type   P2/m
Energy above the lowest structure with this stoichiometry   0.120 eV/atom
Energy of formation from the pure elements   36.83 kJ/mol of atoms
Calculated total energy   -13.65 eV for the cell shown

Cell and atoms, written as CIF:
```
data_MnTl2Zn
_cell_length_a 3.4706
_cell_length_b 5.6589
_cell_length_c 5.8785
_cell_angle_alpha 50.00
_cell_angle_beta 90.00
_cell_angle_gamma 90.00
_space_group_name_H-M_alt 'P 1'
_space_group_IT_number 1
_space_group_name_Hall 'P 1'
loop_
_atom_site_label
_atom_site_type_symbol
_atom_site_fract_x
_atom_site_fract_y
_atom_site_fract_z
_atom_site_occupancy
Mn1 Mn 0.0000 0.0000 0.5000 1
Zn1 Zn 0.5000 0.5000 0.5000 1
Tl1 Tl 0.0000 0.0000 0.0000 1
Tl2 Tl 0.5000 0.5000 0.0000 1
```

---

3.
DFT (PBE) results for a relaxed TaTiTc2 crystal.

Values from the calculation:
Crystal system   tetragonal
Size of the total moment   0.00 μB per atom
Space-group type   P4/mmm
Energy above the lowest structure with this stoichiometry   0.007 eV/atom
Energy of formation from the pure elements   -50.13 kJ/mol of atoms
Calculated total energy   -42.56 eV for the cell shown

Cell and atoms, written as CIF:
```
data_TaTiTc2
_cell_length_a 3.1568
_cell_length_b 4.4464
_cell_length_c 4.4464
_cell_angle_alpha 90.00
_cell_angle_beta 90.00
_cell_angle_gamma 90.00
_space_group_name_H-M_alt 'P 1'
_space_group_IT_number 1
_space_group_name_Hall 'P 1'
loop_
_atom_site_label
_atom_site_type_symbol
_atom_site_fract_x
_atom_site_fract_y
_atom_site_fract_z
_atom_site_occupancy
Ta1 Ta 0.5000 0.5000 0.5000 1
Ti1 Ti 0.5000 0.0000 0.0000 1
Tc1 Tc 0.0000 0.5000 0.0000 1
Tc2 Tc 0.0000 0.0000 0.5000 1
```

---

4.
DFT (PBE) results for a relaxed SrCuSb2 crystal.

Values from the calculation:
Crystal system   monoclinic
Size of the total moment   0.00 μB per atom
Space-group type   P2/m
Calculated total energy   -15.63 eV for the cell shown
E_form (uncorrected)   -403 meV per atom

Cell and atoms, written as CIF:
```
data_SrCuSb2
_cell_length_a 4.2228
_cell_length_b 4.6582
_cell_length_c 6.1922
_cell_angle_alpha 89.15
_cell_angle_beta 90.00
_cell_angle_gamma 90.00
_space_group_name_H-M_alt 'P 1'
_space_group_IT_number 1
_space_group_name_Hall 'P 1'
loop_
_atom_site_label
_atom_site_type_symbol
_atom_site_fract_x
_atom_site_fract_y
_atom_site_fract_z
_atom_site_occupancy
Sb1 Sb 0.0000 0.7572 0.9969 1
Sb2 Sb 0.0000 0.7428 0.5031 1
Sr1 Sr 0.5000 0.2500 0.2500 1
Cu1 Cu 0.5000 0.7500 0.7500 1
```